This record from the Alexandria database describes a relaxed WSeO3 crystal. The functional is GGA+U.

a b c (Å): 3.961 3.961 3.961
angles (deg): 90.00 90.00 90.00
Space group Pm-3m (No. 221)
Unique sites:
W: 0.000 0.000 0.000 x1
Se: 0.500 0.500 0.500 x1
O: 0.000 0.500 0.500 x3

Output
raw total energy = -4.8813 eV/atom
total moment = 4.0 μB/cell
volume = 12.4 Å³/atom